A geometry-optimized KNp2AuS4 structure, computed with PBE-GGA.

```
data_KNp2AuS4
_space_group_name_H-M_alt 'C m c m'
_space_group_IT_number 63
_space_group_name_Hall '-C 2c 2'
_cell_length_a 4.0718
_cell_length_b 13.4852
_cell_length_c 14.0762
_cell_angle_alpha 90.00
_cell_angle_beta 90.00
_cell_angle_gamma 90.00
loop_
_atom_site_label
_atom_site_fract_x
_atom_site_fract_y
_atom_site_fract_z
K1 0.0000 0.1174 0.2500
Np1 0.0000 0.3699 0.0636
Au1 0.0000 0.1613 0.7500
S1 0.0000 0.0000 0.0000
S2 0.0000 0.2636 0.6015
S3 0.0000 0.4452 0.2500
```

## Properties
E	-6.964	eV/atom
total magnetization	8.00	μB/f.u.